[1]
DFT (GGA-PBE) results for Zr2ZnAg after structural relaxation.

For the final energy, the calculation gives -5.326 eV/atom. The density of states at the Fermi level is 5.33 states/eV per cell. The calculated volume is 19.5 A^3/atom.

a = 5.406 Å, b = 5.406 Å, c = 5.406 Å
α = 134.97°, β = 134.97°, γ = 65.58°
Sites, in units of the cell vectors:
Zr: 0.250 0.750 0.500
Zr: 0.000 0.000 0.000
Ag: 0.500 0.500 0.000
Zn: 0.750 0.250 0.500

[2]
DFT (GGA-PBE) results for Zr2ZnAg after structural relaxation.

For the final energy, the calculation gives -5.267 eV/atom. The density of states at the Fermi level is 3.50 states/eV per cell. The calculated volume is 19.9 A^3/atom.

a = 3.057 Å, b = 5.092 Å, c = 6.211 Å
α = 55.27°, β = 90.00°, γ = 90.00°
Sites, in units of the cell vectors:
Zn: 0.000 0.000 0.500
Ag: 0.500 0.500 0.500
Zr: 0.500 0.500 0.000
Zr: 0.000 0.000 0.000

[3]
DFT (GGA-PBE) results for Zr5ZnAg after structural relaxation.

For the final energy, the calculation gives -6.532 eV/atom. The density of states at the Fermi level is 14.30 states/eV per cell. The calculated volume is 22.3 A^3/atom.

a = 5.946 Å, b = 5.946 Å, c = 11.706 Å
α = 64.85°, β = 64.85°, γ = 59.83°
Sites, in units of the cell vectors:
Zr: 0.602 0.886 0.228
Zr: 0.658 0.695 0.998
Zr: 0.342 0.305 0.002
Zr: 0.305 0.342 0.502
Zr: 0.132 0.868 0.250
Zr: 0.398 0.114 0.772
Zr: 0.886 0.602 0.728
Zr: 0.868 0.132 0.750
Zr: 0.695 0.658 0.498
Zr: 0.114 0.398 0.272
Zn: 0.000 0.000 0.000
Zn: 0.000 0.000 0.500
Ag: 0.339 0.661 0.750
Ag: 0.661 0.339 0.250

[4]
DFT (GGA-PBE) results for Zr6Zn5Ag after structural relaxation.

For the final energy, the calculation gives -5.259 eV/atom. The density of states at the Fermi level is 10.27 states/eV per cell. The calculated volume is 19.0 A^3/atom.

a = 4.757 Å, b = 8.238 Å, c = 8.238 Å
α = 120.04°, β = 106.78°, γ = 106.78°
Sites, in units of the cell vectors:
Zn: 0.500 0.162 0.838
Zn: 0.500 0.838 0.162
Zn: 0.000 0.668 0.332
Zn: 0.500 0.500 0.500
Zn: 0.000 0.332 0.668
Zr: 0.253 0.422 0.084
Zr: 0.757 0.257 0.257
Zr: 0.747 0.578 0.916
Zr: 0.253 0.084 0.422
Zr: 0.747 0.916 0.578
Zr: 0.243 0.743 0.743
Ag: 0.000 0.000 0.000

[5]
DFT (GGA-PBE) results for ZrZnAg2 after structural relaxation.

For the final energy, the calculation gives -3.891 eV/atom. The density of states at the Fermi level is 2.69 states/eV per cell. The calculated volume is 18.3 A^3/atom.

a = 5.118 Å, b = 5.118 Å, c = 5.271 Å
α = 80.25°, β = 80.25°, γ = 32.52°
Sites, in units of the cell vectors:
Ag: 0.490 0.490 0.509
Ag: 0.010 0.010 0.991
Zn: 0.750 0.750 0.750
Zr: 0.250 0.250 0.250

[6]
DFT (GGA-PBE) results for Zr2ZnAg after structural relaxation.

For the final energy, the calculation gives -5.270 eV/atom. The density of states at the Fermi level is 3.70 states/eV per cell. The calculated volume is 19.8 A^3/atom.

a = 3.006 Å, b = 3.006 Å, c = 10.255 Å
α = 81.57°, β = 81.57°, γ = 60.00°
Sites, in units of the cell vectors:
Zr: 0.252 0.252 0.243
Zr: 0.081 0.081 0.757
Zn: 0.666 0.666 0.001
Ag: 0.500 0.500 0.499

no.,energy of formation (eV/atom)
1,-0.02
2,0.04
3,0.16
4,-0.22
5,-0.01
6,0.04